(1)
BaSr2N | PBE-GGA | relaxed

a = 3.957 Å, b = 3.957 Å, c = 11.096 Å
α = 79.73°, β = 79.73°, γ = 60.00°
Site moments in Bohr magnetons follow the coordinates.
Sites, in units of the cell vectors:
Sr1 0.708 0.708 0.875  0.01
Ba1 0.500 0.500 0.500  0.09
Sr2 0.292 0.292 0.125  0.01
N1 0.000 0.000 0.000  0.03

Values from the calculation:
E_tot: -3.729 eV/atom
size of the total moment: 0.7 μB per cell
calculated volume: 36.803 Å³/atom
density of states at the Fermi level: 2.68 states/eV per cell

(2)
Tb2YZrP4 | PBE-GGA | relaxed

a = 3.938 Å, b = 6.828 Å, c = 6.829 Å
α = 109.28°, β = 90.00°, γ = 90.00°
Sites, in units of the cell vectors:
Zr1 0.000 0.000 0.000
P1 0.000 0.756 0.243
Tb1 0.500 0.000 0.500
Tb2 0.000 0.500 0.500
Y1 0.500 0.500 0.000
P2 0.000 0.244 0.757
P3 0.500 0.239 0.238
P4 0.500 0.761 0.762

Values from the calculation:
size of the total moment: 0.0 μB per cell
calculated volume: 21.668 Å³/atom
density of states at the Fermi level: 1.58 states/eV per cell
energy of formation from the pure elements: -1553 meV per atom

(3)
NaLa6Ir3 | PBE-GGA | relaxed

a = 4.256 Å, b = 12.777 Å, c = 12.860 Å
α = 105.50°, β = 90.00°, γ = 90.00°
Sites, in units of the cell vectors:
La1 0.250 0.326 0.748
La2 0.750 0.781 0.810
La3 0.250 0.784 0.549
La4 0.750 0.507 0.626
La5 0.750 0.388 0.035
La6 0.250 0.219 0.190
Na1 0.750 0.040 0.643
Ir1 0.250 0.848 0.952
La7 0.250 0.493 0.374
La8 0.750 0.941 0.100
La9 0.750 0.674 0.252
Na2 0.250 0.960 0.357
Ir2 0.250 0.524 0.157
Ir3 0.750 0.645 0.472
La10 0.250 0.612 0.965
Ir4 0.750 0.476 0.843
La11 0.750 0.216 0.451
Ir5 0.750 0.152 0.048
La12 0.250 0.059 0.900
Ir6 0.250 0.355 0.528

Values from the calculation:
size of the total moment: 0.0 μB per cell
calculated volume: 33.693 Å³/atom
density of states at the Fermi level: 15.85 states/eV per cell
energy of formation from the pure elements: -526 meV per atom

(4)
LaMn2Al2 | PBE-GGA | relaxed

a = 7.499 Å, b = 7.499 Å, c = 2.849 Å
α = 90.00°, β = 90.00°, γ = 90.00°
Sites, in units of the cell vectors:
Mn1 0.657 0.157 0.000
Al1 0.131 0.631 0.500
La1 0.000 0.000 0.000
Al2 0.869 0.369 0.500
Mn2 0.843 0.657 0.000
Mn3 0.343 0.843 0.000
Al3 0.631 0.869 0.500
La2 0.500 0.500 0.000
Mn4 0.157 0.343 0.000
Al4 0.369 0.131 0.500

Values from the calculation:
size of the total moment: 0.0 μB per cell
calculated volume: 16.021 Å³/atom
density of states at the Fermi level: 17.34 states/eV per cell
energy of formation from the pure elements: 91 meV per atom

(5)
Ac4NiAg2 | PBE-GGA | relaxed

a = 5.561 Å, b = 5.561 Å, c = 8.972 Å
α = 108.05°, β = 108.05°, γ = 90.00°
Sites, in units of the cell vectors:
Ni1 0.000 0.000 0.000
Ag1 0.619 0.619 0.239
Ag2 0.381 0.381 0.761
Ac1 0.187 0.187 0.374
Ac2 0.813 0.813 0.626
Ac3 0.000 0.500 0.000
Ac4 0.500 0.000 0.000

Values from the calculation:
polymorph energy (0 for the lowest one): 116 meV/atom
size of the total moment: 0.2 μB per cell
calculated volume: 35.626 Å³/atom
density of states at the Fermi level: 10.86 states/eV per cell
energy of formation from the pure elements: -78 meV per atom

(6)
TmPdPt | PBE-GGA | relaxed

a = 4.434 Å, b = 4.983 Å, c = 5.653 Å
α = 90.00°, β = 90.00°, γ = 116.42°
Sites, in units of the cell vectors:
Pt1 0.000 0.500 0.000
Pt2 0.000 0.500 0.500
Pd1 0.383 0.266 0.750
Pd2 0.617 0.734 0.250
Tm1 0.688 0.877 0.750
Tm2 0.312 0.123 0.250

Values from the calculation:
polymorph energy (0 for the lowest one): 0 meV/atom
size of the total moment: 0.0 μB per cell
calculated volume: 18.643 Å³/atom
density of states at the Fermi level: 2.18 states/eV per cell
energy of formation from the pure elements: -1062 meV per atom

(7)
HoBe17Rh | PBE-GGA | relaxed

a = 5.643 Å, b = 5.643 Å, c = 5.643 Å
α = 83.37°, β = 83.37°, γ = 83.37°
Sites, in units of the cell vectors:
Be1 0.009 0.289 0.704
Be2 0.648 0.164 0.648
Be3 0.341 0.341 0.871
Be4 0.704 0.289 0.009
Be5 0.906 0.906 0.906
Be6 0.164 0.648 0.648
Be7 0.992 0.992 0.509
Be8 0.509 0.992 0.992
Be9 0.992 0.509 0.992
Be10 0.341 0.871 0.341
Be11 0.289 0.009 0.704
Be12 0.101 0.101 0.101
Be13 0.704 0.009 0.289
Rh1 0.327 0.327 0.327
Be14 0.009 0.704 0.289
Ho1 0.656 0.656 0.656
Be15 0.648 0.648 0.164
Be16 0.289 0.704 0.009
Be17 0.871 0.341 0.341

Values from the calculation:
size of the total moment: 0.0 μB per cell
calculated volume: 9.282 Å³/atom
density of states at the Fermi level: 4.71 states/eV per cell
energy of formation from the pure elements: -133 meV per atom

(8)
Ca2GdHg | PBE-GGA | relaxed

a = 3.665 Å, b = 3.665 Å, c = 11.959 Å
α = 81.18°, β = 81.18°, γ = 60.00°
Site moments in Bohr magnetons follow the coordinates.
Sites, in units of the cell vectors:
Gd1 0.000 0.000 0.000  7.36
Ca1 0.099 0.099 0.704  0.02
Hg1 0.500 0.500 0.500  0.02
Ca2 0.901 0.901 0.296  0.02

Values from the calculation:
polymorph energy (0 for the lowest one): 217 meV/atom
size of the total moment: 8.0 μB per cell
calculated volume: 34.239 Å³/atom
density of states at the Fermi level: 8.49 states/eV per cell
energy of formation from the pure elements: 13 meV per atom

(9)
CaTl8Cd2 | PBE-GGA | relaxed

a = 4.759 Å, b = 7.907 Å, c = 9.069 Å
α = 105.71°, β = 105.21°, γ = 90.00°
Sites, in units of the cell vectors:
Tl1 0.596 0.459 0.192
Tl2 0.144 0.191 0.288
Tl3 0.856 0.809 0.712
Ca1 0.500 0.000 0.000
Cd1 0.772 0.371 0.543
Tl4 0.049 0.726 0.098
Tl5 0.951 0.274 0.902
Cd2 0.228 0.629 0.457
Tl6 0.683 0.908 0.366
Tl7 0.404 0.541 0.808
Tl8 0.317 0.092 0.634

Values from the calculation:
polymorph energy (0 for the lowest one): 0 meV/atom
size of the total moment: 0.0 μB per cell
calculated volume: 28.738 Å³/atom
density of states at the Fermi level: 6.52 states/eV per cell
energy of formation from the pure elements: -47 meV per atom

(10)
Ce2MgGa2Ir5 | PBE-GGA | relaxed

a = 3.736 Å, b = 9.724 Å, c = 9.724 Å
α = 90.00°, β = 90.00°, γ = 90.00°
Sites, in units of the cell vectors:
Ce1 0.000 0.824 0.676
Ga1 0.000 0.377 0.123
Ir1 0.500 0.293 0.572
Ce2 0.000 0.324 0.824
Ga2 0.000 0.877 0.377
Ce3 0.000 0.676 0.176
Mg1 0.000 0.500 0.500
Ir2 0.500 0.072 0.793
Ce4 0.000 0.176 0.324
Ir3 0.500 0.000 0.500
Ir4 0.500 0.207 0.072
Ir5 0.500 0.428 0.293
Ir6 0.500 0.928 0.207
Ga3 0.000 0.623 0.877
Ir7 0.500 0.572 0.707
Ga4 0.000 0.123 0.623
Mg2 0.000 0.000 0.000
Ir8 0.500 0.793 0.928
Ir9 0.500 0.500 0.000
Ir10 0.500 0.707 0.428

Values from the calculation:
size of the total moment: 0.2 μB per cell
calculated volume: 17.663 Å³/atom
density of states at the Fermi level: 8.16 states/eV per cell
energy of formation from the pure elements: -553 meV per atom

(11)
CsH12O7 | PBE-GGA | relaxed

a = 7.304 Å, b = 7.304 Å, c = 7.304 Å
α = 47.53°, β = 47.53°, γ = 47.53°
Site moments in Bohr magnetons follow the coordinates.
Sites, in units of the cell vectors:
O1 0.470 0.021 0.911  -0.14
H1 0.484 0.207 0.749  0.00
H2 0.472 0.469 0.003  0.00
Cs1 0.000 0.000 0.000  0.00
O2 0.911 0.470 0.021  -0.14
O3 0.021 0.911 0.470  -0.14
H3 0.207 0.749 0.484  0.00
H4 0.469 0.003 0.472  0.00
O4 0.089 0.530 0.979  -0.14
O5 0.530 0.979 0.089  -0.14
H5 0.997 0.528 0.531  0.00
O6 0.979 0.089 0.530  -0.14
H6 0.531 0.997 0.528  0.00
H7 0.251 0.516 0.793  0.00
H8 0.749 0.484 0.207  0.00
H9 0.516 0.793 0.251  0.00
H10 0.793 0.251 0.516  0.00
H11 0.003 0.472 0.469  0.00
H12 0.528 0.531 0.997  0.00
O7 0.500 0.500 0.500  -0.04

Values from the calculation:
E_tot: -4.164 eV/atom
size of the total moment: 1.0 μB per cell
calculated volume: 9.701 Å³/atom
density of states at the Fermi level: 6.55 states/eV per cell

(12)
Cd2AgBOs | PBE-GGA | relaxed

a = 5.246 Å, b = 3.979 Å, c = 5.246 Å
α = 90.00°, β = 90.00°, γ = 90.00°
Sites, in units of the cell vectors:
Cd1 0.500 0.000 0.000
Ag1 0.500 0.500 0.500
B1 0.000 0.500 0.000
Os1 0.000 0.000 0.000
Cd2 0.000 0.000 0.500

Values from the calculation:
size of the total moment: 0.0 μB per cell
calculated volume: 21.899 Å³/atom
density of states at the Fermi level: 3.03 states/eV per cell
energy of formation from the pure elements: 819 meV per atom